(1)
Computed, not measured: a geometry-optimized Sr2La2Ge structure at the PBE-GGA level of DFT.

Unit cell a=8.0619 b=8.0619 c=6.2319 alpha=90.00 beta=90.00 gamma=90.00
Closest atoms and distances in Å follow each position.
Space group P4/mbm (No. 127)
Symmetry-distinct sites (fractional):
1 Sr 0.1713 0.3287 0.0000 [4 per cell]  6 La 3.75-4.04, 1 Sr 3.91
2 La 0.1463 0.6463 0.5000 [4 per cell]  2 Ge 3.09, 1 La 3.33
3 Ge 0.0000 0.0000 0.5000 [2 per cell]  4 La 3.09

Values from the calculation:
- Energy above the most stable polymorph in this dataset: 0 meV/atom
- Volume: 40.5 A^3/atom
- Formation enthalpy at 0 K: -20.1 kJ/mol of formula units

(2)
Computed, not measured: a geometry-optimized ErTh4Sc3 structure at the PBE-GGA level of DFT.

Unit cell a=6.8767 b=13.7534 c=6.0127 alpha=90.00 beta=124.66 gamma=90.00
Closest atoms and distances in Å follow each position.
Space group C2/m (No. 12)
Symmetry-distinct sites (fractional):
1 Er 0.0000 0.0000 0.0000 [2 per cell]  6 Sc 3.44, 6 Th 3.48
2 Th 0.0000 0.2533 0.0000 [4 per cell]  5 Sc 3.39-3.51, 6 Th 3.43-3.48, 1 Er 3.48
3 Th 0.0000 0.3735 0.5000 [4 per cell]  5 Th 3.43-3.48, 5 Sc 3.44-3.47, 2 Er 3.48
4 Sc 0.0000 0.1220 0.5000 [4 per cell]  3 Sc 3.35-3.45, 7 Th 3.44-3.51, 2 Er 3.44
5 Sc 0.0000 0.5000 0.0000 [2 per cell]  6 Th 3.39-3.47, 2 Er 3.44, 4 Sc 3.45

Values from the calculation:
- Volume: 29.2 A^3/atom
- Formation enthalpy at 0 K: 33.9 kJ/mol of formula units

(3)
Computed, not measured: a geometry-optimized RbNb2GaGe structure at the PBE-GGA level of DFT.

Unit cell a=4.9715 b=4.9715 c=5.6638 alpha=90.00 beta=90.00 gamma=90.00
Closest atoms and distances in Å follow each position.
Space group P4/mmm (No. 123)
Symmetry-distinct sites (fractional):
1 Rb 0.0000 0.0000 0.0000 [1 per cell]  2 Ga 2.83
2 Nb 0.0000 0.5000 0.5000 [2 per cell]  2 Ga 2.49
3 Ga 0.0000 0.0000 0.5000 [1 per cell]  4 Nb 2.49
4 Ge 0.5000 0.5000 0.0000 [1 per cell]  4 Rb 3.52, 8 Nb 3.77

Values from the calculation:
- Volume: 28.0 A^3/atom
- Formation enthalpy at 0 K: 690.6 kJ/mol of formula units

(4)
Computed, not measured: a geometry-optimized Tl2GeH structure at the PBE-GGA level of DFT.

Unit cell a=5.4282 b=5.4282 c=13.3775 alpha=90.00 beta=90.00 gamma=90.00
Closest atoms and distances in Å follow each position.
Space group I-42d (No. 122)
Symmetry-distinct sites (fractional):
1 Tl 0.1716 0.2500 0.1250 [8 per cell]  2 H 2.35
2 Ge 0.0000 0.0000 0.5000 [4 per cell]  4 Tl 2.80
3 H 0.0000 0.0000 0.0000 [4 per cell]  4 Tl 2.35

Values from the calculation:
- Energy above the most stable polymorph in this dataset: 0 meV/atom
- Volume: 24.6 A^3/atom

(5)
Computed, not measured: a geometry-optimized SrScTe4 structure at the PBE-GGA level of DFT.

Unit cell a=9.1693 b=9.1693 c=9.1693 alpha=90.00 beta=90.00 gamma=90.00
Closest atoms and distances in Å follow each position.
Space group F-43m (No. 216)
Symmetry-distinct sites (fractional):
1 Sr 0.0000 0.0000 0.0000 [4 per cell]  12 Te 3.80, 4 Sc 3.97
2 Sc 0.2500 0.2500 0.2500 [4 per cell]  12 Te 3.80, 4 Sr 3.97
3 Te 0.1244 0.1244 0.6244 [16 per cell]  6 Te 3.23-3.26

Values from the calculation:
- Raw formation energy: -0.02 eV/atom
- Volume: 32.1 A^3/atom

(6)
Computed, not measured: a geometry-optimized HfIn2H structure at the PBE-GGA level of DFT.

Unit cell a=6.8961 b=6.8961 c=6.8961 alpha=90.00 beta=90.00 gamma=90.00
Closest atoms and distances in Å follow each position.
Space group Fm-3m (No. 225)
Symmetry-distinct sites (fractional):
1 Hf 0.0000 0.0000 0.0000 [4 per cell]  8 In 2.99
2 In 0.2500 0.2500 0.2500 [8 per cell]  4 Hf 2.99, 4 H 2.99
3 H 0.0000 0.0000 0.5000 [4 per cell]  8 In 2.99

Values from the calculation:
- Energy above the most stable polymorph in this dataset: 920 meV/atom
- Volume: 20.5 A^3/atom

(7)
Computed, not measured: a geometry-optimized K2TlHg structure at the PBE-GGA level of DFT.

Unit cell a=10.8039 b=3.6943 c=8.0930 alpha=90.00 beta=97.51 gamma=90.00
Closest atoms and distances in Å follow each position.
Space group C2/m (No. 12)
Symmetry-distinct sites (fractional):
1 K 0.2463 0.0000 0.2455 [4 per cell]  3 Tl 3.57-3.70, 3 Hg 3.59-3.61, 2 K 3.69
2 Tl 0.0000 0.0000 0.5000 [2 per cell]  6 K 3.57-3.70, 2 Tl 3.69
3 Hg 0.0000 0.5000 0.0000 [2 per cell]  6 K 3.59-3.61, 2 Hg 3.69

Values from the calculation:
- Energy above the most stable polymorph in this dataset: 115 meV/atom
- Volume: 40.0 A^3/atom
- Formation enthalpy at 0 K: -11.5 kJ/mol of formula units

(8)
Computed, not measured: a geometry-optimized NaPmEu structure at the PBE-GGA level of DFT.

Unit cell a=3.6200 b=3.6200 c=17.0600 alpha=90.00 beta=90.00 gamma=90.00
Closest atoms and distances in Å follow each position.
Space group I4mm (No. 107)
Symmetry-distinct sites (fractional):
1 Na 0.0000 0.0000 0.0000 [2 per cell]  4 Na 3.62, 4 Pm 3.80, 4 Eu 3.94
2 Pm 0.0000 0.0000 0.6646 [2 per cell]  4 Pm 3.62, 4 Eu 3.74, 4 Na 3.80
3 Eu 0.0000 0.0000 0.3248 [2 per cell]  4 Eu 3.62, 4 Pm 3.74, 4 Na 3.94

Values from the calculation:
- Energy above the most stable polymorph in this dataset: 28 meV/atom
- Volume: 37.3 A^3/atom
- Formation enthalpy at 0 K: 45.1 kJ/mol of formula units

(9)
Computed, not measured: a geometry-optimized SrTa3Bi structure at the PBE-GGA level of DFT.

Unit cell a=5.2829 b=5.2829 c=5.2829 alpha=90.00 beta=90.00 gamma=90.00
Closest atoms and distances in Å follow each position.
Space group Pm-3m (No. 221)
Symmetry-distinct sites (fractional):
1 Sr 0.0000 0.0000 0.0000 [1 per cell]  12 Ta 3.74
2 Ta 0.0000 0.5000 0.5000 [3 per cell]  2 Bi 2.64
3 Bi 0.5000 0.5000 0.5000 [1 per cell]  6 Ta 2.64

Values from the calculation:
- Energy above the most stable polymorph in this dataset: 0 meV/atom
- Volume: 29.5 A^3/atom
- Formation enthalpy at 0 K: 915.1 kJ/mol of formula units

(10)
Computed, not measured: a geometry-optimized MnBeSe2 structure at the PBE-GGA level of DFT.

Unit cell a=7.4748 b=7.4748 c=5.2812 alpha=90.00 beta=90.00 gamma=90.00
Closest atoms and distances in Å follow each position.
Space group I4/mcm (No. 140)
Symmetry-distinct sites (fractional):
1 Mn 0.0000 0.5000 0.2500 [4 per cell]  4 Se 2.29
2 Be 0.0000 0.0000 0.2500 [4 per cell]  2 Be 2.64
3 Se 0.1768 0.3232 0.0000 [8 per cell]  2 Mn 2.29

Values from the calculation:
- Raw formation energy: 0.28 eV/atom
- Volume: 18.4 A^3/atom

(11)
Computed, not measured: a geometry-optimized Te2PtAu structure at the PBE-GGA level of DFT.

Unit cell a=3.8517 b=6.2580 c=8.0858 alpha=90.00 beta=90.00 gamma=90.00
Closest atoms and distances in Å follow each position.
Space group Cmmm (No. 65)
Symmetry-distinct sites (fractional):
1 Te 0.0000 0.0000 0.2309 [4 per cell]  2 Pt 2.68, 2 Au 2.91
2 Pt 0.0000 0.5000 0.0000 [2 per cell]  4 Te 2.68
3 Au 0.0000 0.5000 0.5000 [2 per cell]  4 Te 2.91

Values from the calculation:
- Raw formation energy: 0.23 eV/atom
- Volume: 24.4 A^3/atom

(12)
Computed, not measured: a geometry-optimized AlMoBr3 structure at the PBE-GGA level of DFT.

Unit cell a=5.3950 b=5.3950 c=5.3950 alpha=90.00 beta=90.00 gamma=90.00
Closest atoms and distances in Å follow each position.
Space group Pm-3m (No. 221)
Symmetry-distinct sites (fractional):
1 Al 0.0000 0.0000 0.0000 [1 per cell]  12 Br 3.81
2 Mo 0.5000 0.5000 0.5000 [1 per cell]  6 Br 2.70
3 Br 0.0000 0.5000 0.5000 [3 per cell]  2 Mo 2.70

Values from the calculation:
- Raw formation energy: 0.08 eV/atom
- Energy above the most stable polymorph in this dataset: 0 meV/atom
- Volume: 31.4 A^3/atom

(13)
Computed, not measured: a geometry-optimized PmTmPd2 structure at the PBE-GGA level of DFT.

Unit cell a=3.4636 b=3.4636 c=7.3145 alpha=90.00 beta=90.00 gamma=90.00
Closest atoms and distances in Å follow each position.
Space group P4/mmm (No. 123)
Symmetry-distinct sites (fractional):
1 Pm 0.0000 0.0000 0.0000 [1 per cell]  8 Pd 3.16, 4 Pm 3.46
2 Tm 0.0000 0.0000 0.5000 [1 per cell]  8 Pd 2.96
3 Pd 0.5000 0.5000 0.2724 [2 per cell]  4 Tm 2.96, 4 Pm 3.16

Values from the calculation:
- Energy above the most stable polymorph in this dataset: 38 meV/atom
- Volume: 21.9 A^3/atom
- Formation enthalpy at 0 K: -326.2 kJ/mol of formula units

(14)
Computed, not measured: a geometry-optimized Sr3PO structure at the PBE-GGA level of DFT.

Unit cell a=5.0036 b=5.0036 c=5.0036 alpha=90.00 beta=90.00 gamma=90.00
Closest atoms and distances in Å follow each position.
Space group Pm-3m (No. 221)
Symmetry-distinct sites (fractional):
1 Sr 0.0000 0.0000 0.5000 [3 per cell]  2 O 2.50
2 P 0.5000 0.5000 0.5000 [1 per cell]  12 Sr 3.54
3 O 0.0000 0.0000 0.0000 [1 per cell]  6 Sr 2.50

Values from the calculation:
- Raw formation energy: -1.38 eV/atom
- Energy above the most stable polymorph in this dataset: 119 meV/atom
- Volume: 25.1 A^3/atom

(15)
Computed, not measured: a geometry-optimized Be2TlPb structure at the PBE-GGA level of DFT.

Unit cell a=4.2999 b=5.8030 c=6.6152 alpha=90.00 beta=90.00 gamma=90.00
Closest atoms and distances in Å follow each position.
Space group Cmmm (No. 65)
Symmetry-distinct sites (fractional):
1 Be 0.0000 0.0000 0.1926 [4 per cell]  2 Tl 2.50, 1 Be 2.55
2 Tl 0.0000 0.5000 0.0000 [2 per cell]  4 Be 2.50
3 Pb 0.0000 0.5000 0.5000 [2 per cell]  4 Be 2.96, 2 Tl 3.31

Values from the calculation:
- Energy above the most stable polymorph in this dataset: 270 meV/atom
- Volume: 20.6 A^3/atom
- Formation enthalpy at 0 K: 301.9 kJ/mol of formula units

(16)
Computed, not measured: a geometry-optimized MoAuS3 structure at the PBE-GGA level of DFT.

Unit cell a=4.7890 b=4.7890 c=4.7890 alpha=90.00 beta=90.00 gamma=90.00
Closest atoms and distances in Å follow each position.
Space group Pm-3m (No. 221)
Symmetry-distinct sites (fractional):
1 Mo 0.0000 0.0000 0.0000 [1 per cell]  12 S 3.39
2 Au 0.5000 0.5000 0.5000 [1 per cell]  6 S 2.39
3 S 0.0000 0.5000 0.5000 [3 per cell]  2 Au 2.39

Values from the calculation:
- Raw formation energy: 1.13 eV/atom
- Energy above the most stable polymorph in this dataset: 803 meV/atom
- Volume: 22.0 A^3/atom

(17)
Computed, not measured: a geometry-optimized SbSe structure at the PBE-GGA level of DFT.

Unit cell a=11.4568 b=3.7502 c=9.7272 alpha=90.00 beta=104.04 gamma=90.00
Closest atoms and distances in Å follow each position.
Space group Cm (No. 8)
Symmetry-distinct sites (fractional):
1 Sb 0.0000 0.0000 0.0000 [2 per cell]  2 Se 2.63, 1 Sb 2.91
2 Sb 0.0508 0.0000 0.3082 [2 per cell]  2 Se 2.68, 1 Sb 2.91
3 Sb 0.1624 0.5000 0.5938 [2 per cell]  2 Se 2.62
4 Se 0.1495 0.5000 0.9609 [2 per cell]  2 Sb 2.63
5 Se 0.3261 0.0000 0.6549 [2 per cell]  2 Sb 2.62
6 Se 0.3791 0.0000 0.2410 [2 per cell]  2 Sb 2.68

Values from the calculation:
- Raw formation energy: -0.05 eV/atom
- Volume: 33.8 A^3/atom

(18)
Computed, not measured: a geometry-optimized NiAg2MoOs structure at the PBE-GGA level of DFT.

Unit cell a=4.5453 b=4.5453 c=4.4378 alpha=90.00 beta=90.00 gamma=90.00
Closest atoms and distances in Å follow each position.
Space group P4/mmm (No. 123)
Symmetry-distinct sites (fractional):
1 Ni 0.0000 0.0000 0.0000 [1 per cell]  2 Os 2.22, 4 Ag 2.27
2 Ag 0.0000 0.5000 0.0000 [2 per cell]  2 Ni 2.27
3 Mo 0.5000 0.5000 0.5000 [1 per cell]  8 Ag 3.18, 4 Os 3.21
4 Os 0.0000 0.0000 0.5000 [1 per cell]  2 Ni 2.22

Values from the calculation:
- Volume: 18.3 A^3/atom
- Formation enthalpy at 0 K: 807.0 kJ/mol of formula units

(19)
Computed, not measured: a geometry-optimized SrRuWSe2 structure at the PBE-GGA level of DFT.

Unit cell a=5.3659 b=5.3659 c=4.7207 alpha=90.00 beta=90.00 gamma=90.00
Closest atoms and distances in Å follow each position.
Space group P4/mmm (No. 123)
Symmetry-distinct sites (fractional):
1 Sr 0.0000 0.0000 0.0000 [1 per cell]  2 Ru 2.36
2 Ru 0.0000 0.0000 0.5000 [1 per cell]  2 Sr 2.36
3 W 0.5000 0.5000 0.5000 [1 per cell]  8 Se 3.57, 4 Ru 3.79
4 Se 0.0000 0.5000 0.0000 [2 per cell]  2 Sr 2.68

Values from the calculation:
- Raw formation energy: 2.32 eV/atom
- Volume: 27.2 A^3/atom

(20)
Computed, not measured: a geometry-optimized AcGdCd structure at the PBE-GGA level of DFT.

Unit cell a=3.6064 b=3.6064 c=18.5752 alpha=90.00 beta=90.00 gamma=90.00
Closest atoms and distances in Å follow each position.
Space group I4mm (No. 107)
Symmetry-distinct sites (fractional):
1 Ac 0.0000 0.0000 0.0000 [2 per cell]  1 Cd 3.43, 4 Ac 3.61, 4 Gd 3.68
2 Gd 0.0000 0.0000 0.3574 [2 per cell]  1 Cd 3.21
3 Cd 0.0000 0.0000 0.1844 [2 per cell]  1 Gd 3.21, 1 Ac 3.43

Values from the calculation:
- Energy above the most stable polymorph in this dataset: 424 meV/atom
- Volume: 40.3 A^3/atom
- Formation enthalpy at 0 K: 96.8 kJ/mol of formula units